Record 1
! PBEsol LiMnSiO4, optimized geometry; values from VASP
! Density ... 3.96 g/cm³
! Crystal system ... tetragonal
! E_form (uncorrected) ... -2213 meV/atom
! E above lowest polymorph ... 29 meV/atom
&SYSTEM
  ibrav = 0, nat = 28, ntyp = 4
/
ATOMIC_SPECIES
Li 6.94 Li.upf
Mn 54.94 Mn.upf
Si 28.09 Si.upf
O 16.00 O.upf
CELL_PARAMETERS angstrom
5.487 0.000 0.000
0.000 5.487 0.000
0.000 0.000 8.584
ATOMIC_POSITIONS angstrom
Li 0.000 1.263 0.000
Li 0.000 4.224 4.292
Li 1.263 0.000 2.146
Li 4.224 0.000 6.438
Mn 2.744 4.217 4.292
Mn 4.217 2.744 6.438
Mn 1.270 2.744 2.146
Mn 2.744 1.270 0.000
Si 1.441 1.441 5.365
Si 1.441 4.047 7.511
Si 4.047 1.441 3.219
Si 4.047 4.047 1.073
O 5.420 1.428 2.300
O 5.420 4.059 1.992
O 1.428 5.420 8.429
O 1.428 0.067 4.446
O 4.059 5.420 0.154
O 4.059 0.067 4.138
O 0.067 1.428 6.283
O 0.067 4.059 6.592
O 1.428 2.691 8.484
O 1.428 2.796 4.391
O 2.691 1.428 2.246
O 2.691 4.059 2.046
O 2.796 1.428 6.338
O 2.796 4.059 6.537
O 4.059 2.796 4.192
O 4.059 2.691 0.100

Record 2
! PBEsol Sc3CrAg, optimized geometry; values from VASP
! Density ... 4.52 g/cm³
! Crystal system ... cubic
! E_form ... 2.179 eV/f.u.
&SYSTEM
  ibrav = 0, nat = 5, ntyp = 3
/
ATOMIC_SPECIES
Sc 44.96 Sc.upf
Cr 52.00 Cr.upf
Ag 107.87 Ag.upf
CELL_PARAMETERS angstrom
-0.079 2.310 -4.169
-4.718 0.550 0.395
0.673 4.133 2.278
ATOMIC_POSITIONS angstrom
Sc -2.359 0.275 0.197
Sc 0.336 2.067 1.139
Sc -0.040 1.155 -2.084
Cr 0.000 0.000 0.000
Ag -2.063 3.497 -0.748

Record 3
! PBEsol KNbP2Pt, optimized geometry; values from VASP
! Density ... 5.49 g/cm³
! Crystal system ... tetragonal
! E_form ... 4.196 eV/f.u.
&SYSTEM
  ibrav = 0, nat = 5, ntyp = 4
/
ATOMIC_SPECIES
P 30.97 P.upf
Nb 92.91 Nb.upf
K 39.10 K.upf
Pt 195.08 Pt.upf
CELL_PARAMETERS angstrom
-0.947 -1.715 4.395
-3.353 -2.908 -1.857
3.507 -3.623 -0.658
ATOMIC_POSITIONS angstrom
P -1.677 -1.454 -0.929
P -0.473 -0.858 2.197
Nb 1.754 -1.811 -0.329
K -0.396 -4.123 0.939
Pt 0.000 0.000 0.000

Record 4
! PBEsol Y2AlIr, optimized geometry; values from VASP
! Density ... 7.39 g/cm³
! Crystal system ... orthorhombic
! E_form ... -2.535 eV/f.u.
&SYSTEM
  ibrav = 0, nat = 4, ntyp = 3
/
ATOMIC_SPECIES
Y 88.91 Y.upf
Ir 192.22 Ir.upf
Al 26.98 Al.upf
CELL_PARAMETERS angstrom
3.962 0.000 0.000
0.000 4.209 0.000
-1.981 0.000 5.348
ATOMIC_POSITIONS angstrom
Y 1.981 0.000 5.178
Y 0.000 2.105 2.883
Ir 1.981 2.105 0.603
Al 1.981 0.000 2.036

Record 5
! PBEsol CaTl3Sb, optimized geometry; values from VASP
! Density ... 6.95 g/cm³
! Crystal system ... cubic
! E_form (uncorrected) ... 560 meV/atom
&SYSTEM
  ibrav = 0, nat = 5, ntyp = 3
/
ATOMIC_SPECIES
Sb 121.76 Sb.upf
Tl 204.38 Tl.upf
Ca 40.08 Ca.upf
CELL_PARAMETERS angstrom
-2.634 -3.932 -3.173
-2.576 -2.034 4.658
-4.347 3.588 -0.837
ATOMIC_POSITIONS angstrom
Sb -4.779 -1.189 0.324
Tl -1.288 -1.017 2.329
Tl -2.174 1.794 -0.419
Tl -1.317 -1.966 -1.587
Ca 0.000 0.000 0.000

Record 6
! PBEsol LaZrIn2, optimized geometry; values from VASP
! Density ... 7.60 g/cm³
! Crystal system ... tetragonal
! E_form ... -0.950 eV/f.u.
&SYSTEM
  ibrav = 0, nat = 4, ntyp = 3
/
ATOMIC_SPECIES
In 114.82 In.upf
La 138.91 La.upf
Zr 91.22 Zr.upf
CELL_PARAMETERS angstrom
-4.285 -1.276 -0.359
0.831 -3.533 2.636
0.578 5.134 2.882
ATOMIC_POSITIONS angstrom
In 0.000 0.000 0.000
In -2.717 0.727 1.831
La -1.727 -2.404 1.139
Zr -0.159 -0.402 3.328